Record 1
This record from the Alexandria database describes a relaxed Hf2Ag2Ir crystal. The functional is PBE-GGA.

Values from the calculation:
The calculation puts the energy of formation at 0.13 eV/atom. The size of the total moment comes out at 0.0 μB/f.u. The offset from the most stable computed form comes out at 0 meV/atom. Its space-group type is I4/mmm, No. 139. The calculation puts the density at 12.54 g/cm3.

```
Hf2Ag2Ir
1.0
-2.310 -2.667 -0.602
1.583 -0.662 -3.141
4.562 -6.733 1.679
Ir Hf Ag
1 2 2
Direct
0.000 0.000 0.000
0.409 0.409 0.181
0.591 0.591 0.819
0.750 0.250 0.500
0.250 0.750 0.500
```

Record 2
This record from the Alexandria database describes a relaxed RbThPSe crystal. The functional is PBE-GGA.

Values from the calculation:
The size of the total moment comes out at 0.0 μB/f.u. Its space-group type is R3m, No. 160. The formation energy without anion corrections is -1.3185 eV/atom. The calculation puts the density at 5.40 g/cm3.

```
RbThPSe
1.0
-2.382 3.529 -0.768
-0.488 -3.519 -2.469
-3.956 -3.932 6.390
Rb Th P Se
1 1 1 1
Direct
0.961 0.379 0.355
0.316 0.556 0.887
0.094 0.945 0.054
0.506 0.151 0.673
```

Record 3
This record from the Alexandria database describes a relaxed Y2RePb crystal. The functional is PBE-GGA.

Values from the calculation:
The calculation puts the energy of formation at 0.46 eV/atom. The size of the total moment comes out at 0.8 μB/f.u. Its space-group type is R3m, No. 160. The calculation puts the density at 9.23 g/cm3.

```
Y2RePb
1.0
-6.278 0.845 -7.911
-3.787 -1.076 -9.339
-6.298 -2.586 -7.507
Pb Re Y
1 1 2
Direct
0.488 0.488 0.488
0.753 0.753 0.753
0.015 0.015 0.015
0.244 0.244 0.244
```

Record 4
This record from the Alexandria database describes a relaxed Cu6Se2S crystal. The functional is PBE-GGA.

Values from the calculation:
The size of the total moment comes out at 0.0 μB/f.u. Its space-group type is C2/m, No. 12. The formation energy without anion corrections is -0.0559 eV/atom. The calculation puts the density at 5.92 g/cm3.

```
Cu6Se2S
1.0
3.743 0.000 1.089
1.317 6.091 2.448
-0.049 0.378 7.143
Cu Se S
6 2 1
Direct
0.716 0.641 0.926
0.284 0.359 0.074
0.056 0.723 0.166
0.381 0.578 0.660
0.944 0.277 0.834
0.619 0.422 0.340
0.162 0.876 0.799
0.838 0.124 0.201
0.000 0.500 0.500
```

Record 5
This record from the Alexandria database describes a relaxed Ni4Sn3As crystal. The functional is PBE-GGA.

Values from the calculation:
The calculation puts the energy of formation at -0.06 eV/atom. The size of the total moment comes out at 0.0 μB/f.u. Its space-group type is Imm2, No. 44. The calculation puts the density at 7.80 g/cm3.

```
Ni4Sn3As
1.0
5.889 -0.504 0.152
-3.339 4.877 -0.152
-2.310 -1.583 5.207
Ni Sn As
4 3 1
Direct
0.208 0.748 0.956
0.208 0.252 0.460
0.528 0.246 0.282
0.036 0.754 0.282
0.586 0.255 0.842
0.931 0.000 0.931
0.586 0.745 0.331
0.067 0.500 0.567
```

Record 6
This record from the Alexandria database describes a relaxed Nd3SmTm2S6 crystal. The functional is PBE-GGA.

Values from the calculation:
The size of the total moment comes out at 0.0 μB/f.u. Its space-group type is C2/m, No. 12. The formation energy without anion corrections is -2.0007 eV/atom. The calculation puts the density at 6.89 g/cm3.

```
Nd3SmTm2S6
1.0
6.864 -0.009 -0.001
-3.438 5.940 -0.001
-1.144 -1.981 6.592
Nd Sm Tm S
3 1 2 6
Direct
0.162 0.838 0.500
0.838 0.162 0.500
0.500 0.500 0.500
0.000 0.000 0.000
0.334 0.666 0.000
0.666 0.334 0.000
0.922 0.579 0.765
0.734 0.734 0.231
0.078 0.421 0.235
0.579 0.922 0.765
0.266 0.266 0.769
0.421 0.078 0.235
```

Record 7
This record from the Alexandria database describes a relaxed YNbPS2 crystal. The functional is PBE-GGA.

Values from the calculation:
The size of the total moment comes out at 0.0 μB/f.u. The offset from the most stable computed form comes out at 0 meV/atom. Its space-group type is P4/mmm, No. 123. The formation energy without anion corrections is -0.7148 eV/atom. The calculation puts the density at 4.17 g/cm3.

```
YNbPS2
1.0
4.727 0.000 0.000
0.000 4.727 0.000
0.000 0.000 4.931
Y P Nb S
1 1 1 2
Direct
0.500 0.500 0.500
0.000 0.000 0.500
0.000 0.000 0.000
0.000 0.500 0.000
0.500 0.000 0.000
```

Record 8
This record from the Alexandria database describes a relaxed Mo2AsOs crystal. The functional is PBE-GGA.

Values from the calculation:
The calculation puts the energy of formation at 0.11 eV/atom. The size of the total moment comes out at 0.0 μB/f.u. Its space-group type is Pm, No. 6. The calculation puts the density at 12.36 g/cm3.

```
Mo2AsOs
1.0
-3.498 -1.733 -1.055
1.376 -1.542 -2.029
1.530 -4.592 2.474
Mo Os As
2 1 1
Direct
0.000 0.954 0.968
0.500 0.302 0.271
0.000 0.693 0.486
0.500 0.551 0.775
```

Record 9
This record from the Alexandria database describes a relaxed Pr3SmHo2Tm6 crystal. The functional is PBE-GGA.

Values from the calculation:
The calculation puts the energy of formation at 0.02 eV/atom. The size of the total moment comes out at 0.0 μB/f.u. Its space-group type is C2/m, No. 12. The calculation puts the density at 8.33 g/cm3.

```
Pr3SmHo2Tm6
1.0
-4.063 -4.288 1.825
4.233 -1.383 -4.289
7.227 -1.495 9.097
Pr Sm Ho Tm
3 1 2 6
Direct
0.167 0.833 0.500
0.833 0.167 0.500
0.500 0.500 0.500
0.000 0.000 0.000
0.333 0.667 0.000
0.667 0.333 0.000
0.918 0.584 0.754
0.749 0.749 0.246
0.082 0.416 0.246
0.584 0.918 0.754
0.251 0.251 0.754
0.416 0.082 0.246
```

Record 10
This record from the Alexandria database describes a relaxed Nd4YAl2 crystal. The functional is PBE-GGA.

Values from the calculation:
The calculation puts the energy of formation at -0.18 eV/atom. The size of the total moment comes out at 0.0 μB/f.u. Its space-group type is R-3m, No. 166. The calculation puts the density at 5.83 g/cm3.

```
Nd4YAl2
1.0
-1.293 5.205 -0.401
-5.165 1.497 0.027
-1.910 2.922 8.022
Y Nd Al
1 4 2
Direct
0.000 0.000 0.000
0.848 0.848 0.455
0.152 0.152 0.545
0.590 0.590 0.231
0.410 0.410 0.769
0.720 0.720 0.839
0.280 0.280 0.161
```

Record 11
This record from the Alexandria database describes a relaxed Ba2Ni crystal. The functional is PBE-GGA.

Values from the calculation:
The calculation puts the energy of formation at 0.67 eV/atom. The size of the total moment comes out at 0.0 μB/f.u. Its space-group type is P6/mmm, No. 191. The calculation puts the density at 5.60 g/cm3.

```
Ba2Ni
1.0
-0.763 4.940 2.622
-3.305 -1.428 -4.348
-2.302 -1.555 2.260
Ba Ni
2 1
Direct
0.667 0.333 0.000
0.333 0.667 0.000
0.000 0.000 0.500
```

Record 12
This record from the Alexandria database describes a relaxed FeTeIrN2 crystal. The functional is PBE-GGA.

Values from the calculation:
The size of the total moment comes out at 3.2 μB/f.u. The offset from the most stable computed form comes out at 0 meV/atom. Its space-group type is P4/mmm, No. 123. The formation energy without anion corrections is 0.9922 eV/atom. The calculation puts the density at 7.59 g/cm3.

```
FeTeIrN2
1.0
3.767 0.000 0.000
0.000 3.767 0.000
0.000 0.000 6.227
Ir Te Fe N
1 1 1 2
Direct
0.000 0.000 0.000
0.000 0.000 0.500
0.500 0.500 0.500
0.000 0.500 0.000
0.500 0.000 0.000
```

Record 13
This record from the Alexandria database describes a relaxed ZrAgP2O crystal. The functional is PBE-GGA.

Values from the calculation:
The size of the total moment comes out at 0.0 μB/f.u. The offset from the most stable computed form comes out at 598 meV/atom. Its space-group type is P4/mmm, No. 123. The formation energy without anion corrections is 0.3379 eV/atom. The calculation puts the density at 5.16 g/cm3.

```
ZrAgP2O
1.0
4.734 0.000 0.000
0.000 4.734 0.000
0.000 0.000 3.982
O P Zr Ag
1 2 1 1
Direct
0.000 0.000 0.500
0.000 0.500 0.000
0.500 0.000 0.000
0.500 0.500 0.500
0.000 0.000 0.000
```

Record 14
This record from the Alexandria database describes a relaxed K3ZrTe2O9 crystal. The functional is PBE-GGA.

Values from the calculation:
The size of the total moment comes out at 0.0 μB/f.u. Its space-group type is P-3m1, No. 164. The formation energy without anion corrections is -1.7323 eV/atom. The calculation puts the density at 4.89 g/cm3.

```
K3ZrTe2O9
1.0
5.798 0.000 0.000
-2.899 5.022 0.000
0.000 0.000 7.086
K Zr Te O
3 1 2 9
Direct
0.333 0.667 0.671
0.000 0.000 0.000
0.667 0.333 0.329
0.000 0.000 0.500
0.333 0.667 0.170
0.667 0.333 0.830
0.827 0.173 0.672
0.827 0.654 0.672
0.346 0.173 0.672
0.654 0.827 0.328
0.173 0.346 0.328
0.173 0.827 0.328
0.500 0.000 0.000
0.000 0.500 0.000
0.500 0.500 0.000
```

Record 15
This record from the Alexandria database describes a relaxed Tb2Nd3Er3 crystal. The functional is PBE-GGA.

Values from the calculation:
The calculation puts the energy of formation at 0.02 eV/atom. The size of the total moment comes out at 0.0 μB/f.u. The offset from the most stable computed form comes out at 0 meV/atom. Its space-group type is Immm, No. 71. The calculation puts the density at 7.98 g/cm3.

```
Tb2Nd3Er3
1.0
5.054 0.000 0.000
0.000 5.080 0.000
-2.527 -2.540 10.155
Tb Nd Er
2 3 3
Direct
0.751 0.251 0.501
0.249 0.749 0.499
0.125 0.125 0.249
0.000 0.500 0.000
0.875 0.875 0.751
0.626 0.626 0.252
0.374 0.374 0.748
0.500 0.000 0.000
```

Record 16
This record from the Alexandria database describes a relaxed TeMoRh crystal. The functional is PBE-GGA.

Values from the calculation:
The size of the total moment comes out at 0.0 μB/f.u. The offset from the most stable computed form comes out at 3 meV/atom. Its space-group type is Amm2, No. 38. The formation energy without anion corrections is 0.1986 eV/atom. The calculation puts the density at 9.12 g/cm3.

```
TeMoRh
1.0
-0.051 1.152 -3.222
1.910 -2.723 0.813
-9.039 -7.052 -2.378
Mo Te Rh
2 2 2
Direct
0.451 0.901 0.000
0.438 0.877 0.500
0.771 0.543 0.339
0.771 0.543 0.661
0.117 0.235 0.865
0.117 0.235 0.135
```

Record 17
This record from the Alexandria database describes a relaxed Pr2ZnAg2 crystal. The functional is PBE-GGA.

Values from the calculation:
The calculation puts the energy of formation at -0.26 eV/atom. The size of the total moment comes out at 0.0 μB/f.u. Its space-group type is C2/m, No. 12. The calculation puts the density at 7.43 g/cm3.

```
Pr2ZnAg2
1.0
4.557 0.000 0.000
2.279 5.403 -0.429
2.279 0.139 10.204
Pr Zn Ag
4 2 4
Direct
0.677 0.304 0.342
0.919 0.274 0.888
0.323 0.696 0.658
0.081 0.726 0.112
0.618 0.105 0.659
0.382 0.895 0.341
0.083 0.270 0.565
0.635 0.848 0.882
0.917 0.730 0.435
0.365 0.152 0.118
```

Record 18
This record from the Alexandria database describes a relaxed CdPCl2F crystal. The functional is PBE-GGA.

Values from the calculation:
The size of the total moment comes out at 0.9 μB/f.u. The offset from the most stable computed form comes out at 330 meV/atom. Its space-group type is P4/mmm, No. 123. The formation energy without anion corrections is 0.2347 eV/atom. The calculation puts the density at 2.86 g/cm3.

```
CdPCl2F
1.0
5.018 0.000 0.000
0.000 5.018 0.000
0.000 0.000 5.379
P F Cl Cd
1 1 2 1
Direct
0.000 0.000 0.500
0.500 0.500 0.500
0.000 0.500 0.000
0.500 0.000 0.000
0.000 0.000 0.000
```

Record 19
This record from the Alexandria database describes a relaxed CaBRu crystal. The functional is PBE-GGA.

Values from the calculation:
The calculation puts the energy of formation at -0.31 eV/atom. The size of the total moment comes out at 0.0 μB/f.u. The offset from the most stable computed form comes out at 0 meV/atom. Its space-group type is P4/nmm, No. 129. The calculation puts the density at 3.90 g/cm3.

```
CaBRu
1.0
-2.637 -3.045 -0.088
2.100 -1.733 -2.968
4.367 -3.937 5.389
Ca B Ru
2 2 2
Direct
0.750 0.750 0.286
0.250 0.250 0.714
0.250 0.250 0.078
0.750 0.750 0.922
0.250 0.750 0.000
0.750 0.250 0.000
```